Density functional theory data (PBE-GGA) for Cs2PmPdI6 after structural relaxation.

abc: 8.5476 8.5476 14.8801
angles: 73.31 73.31 60.00
Last column: nearest neighbours and their distance in Å.
Fractional positions:
I 0.7158 0.2036 0.8769  1 Pd 2.96, 1 Pm 3.11
I 0.2036 0.7158 0.8769  1 Pd 2.96, 1 Pm 3.11
I 0.3713 0.8743 0.3831  1 Pd 2.98, 1 Pm 3.08
I 0.2842 0.7964 0.1231  1 Pd 2.96, 1 Pm 3.11
I 0.3713 0.3713 0.3831  1 Pd 2.98, 1 Pm 3.08
I 0.7964 0.2842 0.1231  1 Pd 2.96, 1 Pm 3.11
I 0.2036 0.2036 0.8769  1 Pd 2.96, 1 Pm 3.11
I 0.1257 0.6287 0.6169  1 Pd 2.98, 1 Pm 3.08
I 0.6287 0.1257 0.6169  1 Pd 2.98, 1 Pm 3.08
I 0.7964 0.7964 0.1231  1 Pd 2.96, 1 Pm 3.11
I 0.8743 0.3713 0.3831  1 Pd 2.98, 1 Pm 3.08
I 0.6287 0.6287 0.6169  1 Pd 2.98, 1 Pm 3.08
Pd 0.5000 0.5000 0.5000  6 I 2.98
Pd 0.0000 0.0000 0.0000  6 I 2.96
Pm 0.4176 0.4176 0.7473  6 I 3.08-3.11
Pm 0.5824 0.5824 0.2527  6 I 3.08-3.11
Cs 0.2959 0.2959 0.1124  12 I 4.16-4.52
Cs 0.7041 0.7041 0.8876  12 I 4.16-4.52
Cs 0.8790 0.8790 0.3630  12 I 4.14-4.33
Cs 0.1210 0.1210 0.6370  12 I 4.14-4.33

- raw formation energy (eV/f.u.) = -11.522
- SG = R-3m (166)
- VASP energy (eV/atom) = -3.2473
- total moment (Bohr magnetons per cell) = 2.1

=====

Density functional theory data (PBE-GGA) for CsPrPdI6 after structural relaxation.

abc: 8.2895 7.3856 9.1060
angles: 84.69 80.45 55.83
Last column: nearest neighbours and their distance in Å.
Fractional positions:
I 0.3484 0.0385 0.6840  1 Pd 2.65
I 0.6130 0.0377 0.3158  1 Pd 2.64
I 0.9937 0.3850 0.2207  1 Pr 3.07
I 0.9927 0.6534 0.6586  1 Pd 2.66
I 0.6209 0.3857 0.7796  1 Pr 3.07
I 0.3547 0.6523 0.3413  1 Pd 2.66
Pd 0.3257 0.3484 0.4998  4 I 2.64-2.66
Cs 0.0545 0.8917 0.9999  8 I 3.93-4.32
Pr 0.6963 0.6075 0.5002  6 I 3.07-3.23

- raw formation energy (eV/f.u.) = -9.114
- SG = P1 (1)
- VASP energy (eV/atom) = -3.2490
- total moment (Bohr magnetons per cell) = 0.0

=====

Density functional theory data (PBE-GGA) for CsRb2PdI after structural relaxation.

abc: 6.4376 6.4376 6.7213
angles: 90.00 90.00 90.00
Last column: nearest neighbours and their distance in Å.
Fractional positions:
I 0.5000 0.5000 0.5000  4 Cs 4.55, 8 Rb 4.65
Rb 0.5000 0.0000 0.0000  2 Pd 3.22
Rb 0.0000 0.5000 0.0000  2 Pd 3.22
Pd 0.0000 0.0000 0.0000  4 Rb 3.22, 2 Cs 3.36
Cs 0.0000 0.0000 0.5000  2 Pd 3.36

- raw formation energy (eV/f.u.) = -2.400
- SG = P4/mmm (123)
- VASP energy (eV/atom) = -2.3863
- total moment (Bohr magnetons per cell) = 0.0

=====

Density functional theory data (PBE-GGA) for Cs2RbPdI6 after structural relaxation.

abc: 8.8284 8.8284 8.8229
angles: 59.98 59.98 90.00
Last column: nearest neighbours and their distance in Å.
Fractional positions:
I 0.7780 0.2220 0.0000  1 Pd 2.77
I 0.7780 0.7780 0.4441  1 Pd 2.77
I 0.2220 0.7780 0.0000  1 Pd 2.77
I 0.2220 0.2220 0.5559  1 Pd 2.77
I 0.2220 0.2220 0.0000  1 Pd 2.77
I 0.7780 0.7780 0.0000  1 Pd 2.77
Cs 0.7500 0.2500 0.5000  12 I 4.43
Cs 0.2500 0.7500 0.5000  12 I 4.43
Rb 0.5000 0.5000 0.0000  6 I 3.47
Pd 0.0000 0.0000 0.0000  6 I 2.77

- raw formation energy (eV/f.u.) = -9.033
- SG = I4/mmm (139)
- VASP energy (eV/atom) = -2.6201
- total moment (Bohr magnetons per cell) = 0.0

=====

Density functional theory data (PBE-GGA) for Cs2PdSI6 after structural relaxation.

abc: 8.1516 8.1516 8.1172
angles: 59.86 59.86 90.00
Last column: nearest neighbours and their distance in Å.
Fractional positions:
S 0.5000 0.5000 0.0000  6 I 2.89-2.97
Pd 0.0000 0.0000 0.0000  6 I 2.79-2.82
I 0.2468 0.2468 0.5063  1 Pd 2.82, 1 S 2.89
I 0.2421 0.7579 0.0000  1 Pd 2.79, 1 S 2.97
I 0.2421 0.2421 0.0000  1 Pd 2.79, 1 S 2.97
I 0.7532 0.7532 0.4937  1 Pd 2.82, 1 S 2.89
I 0.7579 0.7579 0.0000  1 Pd 2.79, 1 S 2.97
I 0.7579 0.2421 0.0000  1 Pd 2.79, 1 S 2.97
Cs 0.2500 0.7500 0.5000  12 I 4.06-4.08
Cs 0.7500 0.2500 0.5000  12 I 4.06-4.08

- raw formation energy (eV/f.u.) = -6.100
- SG = I4/mmm (139)
- VASP energy (eV/atom) = -2.6428
- total moment (Bohr magnetons per cell) = 0.0

=====

Density functional theory data (PBE-GGA) for CsSbPdI2 after structural relaxation.

abc: 6.0198 6.0198 5.1271
angles: 90.00 90.00 90.00
Last column: nearest neighbours and their distance in Å.
Fractional positions:
I 0.5000 0.0000 0.0000  2 Pd 3.01
I 0.0000 0.5000 0.0000  2 Pd 3.01
Sb 0.0000 0.0000 0.5000  2 Pd 2.56
Pd 0.0000 0.0000 0.0000  2 Sb 2.56
Cs 0.5000 0.5000 0.5000  8 I 3.95, 4 Sb 4.26

- raw formation energy (eV/f.u.) = -2.079
- SG = P4/mmm (123)
- VASP energy (eV/atom) = -3.0695
- total moment (Bohr magnetons per cell) = 0.5

=====

Density functional theory data (PBE-GGA) for Cs2ScPdI6 after structural relaxation.

abc: 8.3110 8.3110 8.2860
angles: 59.90 59.90 90.00
Last column: nearest neighbours and their distance in Å.
Fractional positions:
Sc 0.5000 0.5000 0.0000  6 I 2.92-2.93
Pd 0.0000 0.0000 0.0000  6 I 2.92-2.96
I 0.7484 0.2516 0.0000  1 Sc 2.92, 1 Pd 2.96
I 0.2516 0.7484 0.0000  1 Sc 2.92, 1 Pd 2.96
I 0.2516 0.2516 0.0000  1 Sc 2.92, 1 Pd 2.96
I 0.7484 0.7484 0.0000  1 Sc 2.92, 1 Pd 2.96
I 0.7504 0.7504 0.4992  1 Pd 2.92, 1 Sc 2.93
I 0.2496 0.2496 0.5008  1 Pd 2.92, 1 Sc 2.93
Cs 0.7500 0.2500 0.5000  12 I 4.14-4.16
Cs 0.2500 0.7500 0.5000  12 I 4.14-4.16

- raw formation energy (eV/f.u.) = -10.563
- SG = I4/mmm (139)
- VASP energy (eV/atom) = -3.3095
- total moment (Bohr magnetons per cell) = 1.0
- energy above the most stable polymorph in this dataset (meV/atom) = 27

=====

Density functional theory data (PBE-GGA) for Cs2ScPdI6 after structural relaxation.

abc: 8.3295 8.3295 14.5454
angles: 73.36 73.36 60.00
Last column: nearest neighbours and their distance in Å.
Fractional positions:
Sc 0.5835 0.5835 0.2494  6 I 2.91-2.92
Sc 0.4165 0.4165 0.7506  6 I 2.91-2.92
Pd 0.5000 0.5000 0.5000  6 I 2.91
Pd 0.0000 0.0000 0.0000  6 I 2.98
Cs 0.1205 0.1205 0.6384  12 I 4.03-4.38
Cs 0.8795 0.8795 0.3616  12 I 4.03-4.38
Cs 0.2958 0.2958 0.1125  12 I 4.06-4.36
Cs 0.7042 0.7042 0.8875  12 I 4.06-4.36
I 0.8678 0.3788 0.3746  1 Sc 2.91, 1 Pd 2.91
I 0.7900 0.7900 0.1266  1 Sc 2.92, 1 Pd 2.98
I 0.2100 0.7066 0.8734  1 Sc 2.92, 1 Pd 2.98
I 0.2934 0.7900 0.1266  1 Sc 2.92, 1 Pd 2.98
I 0.6212 0.6212 0.6254  1 Sc 2.91, 1 Pd 2.91
I 0.2100 0.2100 0.8734  1 Sc 2.92, 1 Pd 2.98
I 0.7900 0.2934 0.1266  1 Sc 2.92, 1 Pd 2.98
I 0.3788 0.3788 0.3746  1 Sc 2.91, 1 Pd 2.91
I 0.7066 0.2100 0.8734  1 Sc 2.92, 1 Pd 2.98
I 0.3788 0.8678 0.3746  1 Sc 2.91, 1 Pd 2.91
I 0.1322 0.6212 0.6254  1 Sc 2.91, 1 Pd 2.91
I 0.6212 0.1322 0.6254  1 Sc 2.91, 1 Pd 2.91

- raw formation energy (eV/f.u.) = -10.834
- SG = R-3m (166)
- VASP energy (eV/atom) = -3.3366
- total moment (Bohr magnetons per cell) = 2.1
- energy above the most stable polymorph in this dataset (meV/atom) = 0